#one
MnGaTe3: optimized geometry, PBE.

Results
Space group ... P2_1/m
Crystal system ... monoclinic

a = 4.0287 Å, b = 6.8339 Å, c = 12.9453 Å
α = 117.95°, β = 90.00°, γ = 90.00°
Closest atoms and distances in Å follow each position.
Positions (direct):
1 Ga 0.7500 0.7698 0.2522  4 Te 2.63-2.71
2 Mn 0.7500 0.8868 0.8320  5 Te 2.73-2.89
3 Te 0.2500 0.5916 0.7238  1 Ga 2.63, 2 Mn 2.73
4 Te 0.7500 0.8092 0.0530  1 Ga 2.71, 2 Mn 2.77
5 Te 0.2500 0.0322 0.3677  2 Ga 2.64, 1 Mn 2.89
6 Mn 0.2500 0.1132 0.1680  5 Te 2.73-2.89
7 Ga 0.2500 0.2302 0.7478  4 Te 2.63-2.71
8 Te 0.7500 0.9678 0.6323  2 Ga 2.64, 1 Mn 2.89
9 Te 0.2500 0.1908 0.9470  1 Ga 2.71, 2 Mn 2.77
10 Te 0.7500 0.4084 0.2762  1 Ga 2.63, 2 Mn 2.73

#two
MnGaTe3: optimized geometry, PBE.

Results
Space group ... Pm-3m
Crystal system ... cubic

a = 5.1249 Å, b = 5.1249 Å, c = 5.1249 Å
α = 90.00°, β = 90.00°, γ = 90.00°
Closest atoms and distances in Å follow each position.
Positions (direct):
1 Mn 0.0000 0.0000 0.0000  6 Te 2.56
2 Te 0.0000 0.5000 0.0000  2 Mn 2.56
3 Te 0.0000 0.0000 0.5000  2 Mn 2.56
4 Ga 0.5000 0.5000 0.5000  12 Te 3.62
5 Te 0.5000 0.0000 0.0000  2 Mn 2.56

What should be chosen as the least stable of them? Choose #two.